Record 1
The following is a PBE-GGA calculation of an optimized crystal structure of Ca2TePd6, from Alexandria.

The structure in POSCAR format:
```
Ca2TePd6
1.0
5.0232 -2.8820 0.0000
5.0232 2.8820 0.0000
-1.5422 0.0000 6.1072
Ca Te Pd
2 1 6
Direct
0.1396 0.1396 0.3309
0.8604 0.8604 0.6691
0.5000 0.5000 0.5000
0.0987 0.6211 0.1798
0.3787 0.3787 0.8177
0.3789 0.9013 0.8202
0.6211 0.0987 0.1798
0.6213 0.6213 0.1823
0.9013 0.3789 0.8202
```

***

Record 2
The following is a PBE-GGA calculation of an optimized crystal structure of CaTe2Pd4, from Alexandria.

The structure in POSCAR format:
```
CaTe2Pd4
1.0
7.9939 0.0000 0.0000
0.0000 7.9939 0.0000
0.0000 0.0000 4.4250
Ca Te Pd
2 4 8
Direct
0.0000 0.0000 0.0000
0.5000 0.5000 0.5000
0.2183 0.2183 0.5000
0.2817 0.7183 0.0000
0.7183 0.2817 0.0000
0.7817 0.7817 0.5000
0.1051 0.6403 0.5000
0.1403 0.3949 0.0000
0.3597 0.8949 0.5000
0.3949 0.1403 0.0000
0.6051 0.8597 0.0000
0.6403 0.1051 0.5000
0.8597 0.6051 0.0000
0.8949 0.3597 0.5000
```

***

Record 3
Ca2Te2Pd PBE-GGA optimized geometry; excess energy over the best structure of this formula in the dataset = 2.9 meV per atom
1.0
-3.0539 3.0539 4.5208
3.0539 -3.0539 4.5208
3.0539 3.0539 -4.5208
Ca Te Pd
2 2 1
Direct
0.2500 0.7500 0.5000
0.7500 0.2500 0.5000
0.2104 0.2104 0.0000
0.7896 0.7896 0.0000
0.5000 0.5000 0.0000

***

Record 4
CaTe3Pd PBE-GGA optimized geometry; excess energy over the best structure of this formula in the dataset = 0.0 meV per atom
1.0
5.3607 0.0000 0.0000
0.0000 5.3607 0.0000
0.0000 0.0000 5.3607
Ca Te Pd
1 3 1
Direct
0.0000 0.0000 0.0000
0.0000 0.5000 0.5000
0.5000 0.0000 0.5000
0.5000 0.5000 0.0000
0.5000 0.5000 0.5000

***

Record 5
Ca2TePd2 PBE-GGA optimized geometry; excess energy over the best structure of this formula in the dataset = 96.1 meV per atom
1.0
-2.8217 2.8217 3.9877
2.8217 -2.8217 3.9877
2.8217 2.8217 -3.9877
Ca Te Pd
2 1 2
Direct
0.2500 0.7500 0.5000
0.7500 0.2500 0.5000
0.0000 0.0000 0.0000
0.3398 0.3398 0.0000
0.6602 0.6602 0.0000

***

Record 6
Ca2Te2Pd PBE-GGA optimized geometry; excess energy over the best structure of this formula in the dataset = 0.0 meV per atom
1.0
8.0936 0.0000 0.0000
0.0000 8.0936 0.0000
0.0000 0.0000 4.2048
Ca Te Pd
4 4 2
Direct
0.1501 0.3499 0.0000
0.3499 0.8499 0.0000
0.6501 0.1501 0.0000
0.8499 0.6501 0.0000
0.1629 0.6629 0.5000
0.3371 0.1629 0.5000
0.6629 0.8371 0.5000
0.8371 0.3371 0.5000
0.0000 0.0000 0.5000
0.5000 0.5000 0.5000

***

Record 7
CaTePd3 PBE-GGA optimized geometry; excess energy over the best structure of this formula in the dataset = 1113.8 meV per atom
1.0
4.9327 0.0000 0.0000
0.0000 4.9327 0.0000
0.0000 0.0000 4.9327
Ca Te Pd
1 1 3
Direct
0.0000 0.0000 0.0000
0.5000 0.5000 0.5000
0.0000 0.0000 0.5000
0.0000 0.5000 0.0000
0.5000 0.0000 0.0000

***

Record 8
Ca2TePd2 PBE-GGA optimized geometry; excess energy over the best structure of this formula in the dataset = 0.0 meV per atom
1.0
7.5192 0.0000 0.0000
0.0000 7.5192 0.0000
0.0000 0.0000 4.1131
Ca Te Pd
4 2 4
Direct
0.1752 0.3248 0.0000
0.3248 0.8248 0.0000
0.6752 0.1752 0.0000
0.8248 0.6752 0.0000
0.0000 0.0000 0.5000
0.5000 0.5000 0.5000
0.1278 0.6278 0.5000
0.3722 0.1278 0.5000
0.6278 0.8722 0.5000
0.8722 0.3722 0.5000

***

Record 9
Ca2TePd2 PBE-GGA optimized geometry; excess energy over the best structure of this formula in the dataset = 26.0 meV per atom
1.0
-1.9544 1.9544 8.1119
1.9544 -1.9544 8.1119
1.9544 1.9544 -8.1119
Ca Te Pd
2 1 2
Direct
0.1124 0.1124 0.0000
0.8876 0.8876 0.0000
0.5000 0.5000 0.0000
0.2500 0.7500 0.5000
0.7500 0.2500 0.5000

***

Record 10
The following is a PBE-GGA calculation of an optimized crystal structure of CaTePd4, from Alexandria.

The structure in POSCAR format:
```
CaTePd4
1.0
0.0000 3.8465 3.8465
3.8465 0.0000 3.8465
3.8465 3.8465 0.0000
Ca Te Pd
1 1 4
Direct
0.0000 0.0000 0.0000
0.2500 0.2500 0.2500
0.1245 0.6252 0.6252
0.6252 0.1245 0.6252
0.6252 0.6252 0.1245
0.6252 0.6252 0.6252
```

***

Record 11
The following is a PBE-GGA calculation of an optimized crystal structure of Ca2Te3Pd5, from Alexandria.

The structure in POSCAR format:
```
Ca2Te3Pd5
1.0
2.2975 -12.5114 0.0000
2.2975 12.5114 0.0000
0.0000 0.0000 7.4825
Ca Te Pd
4 6 10
Direct
0.0175 0.9825 0.5000
0.3231 0.6769 0.4493
0.6769 0.3231 0.9493
0.9825 0.0175 0.0000
0.1108 0.8892 0.7562
0.2812 0.7188 0.8758
0.4439 0.5561 0.7336
0.5561 0.4439 0.2336
0.7188 0.2812 0.3758
0.8892 0.1108 0.2562
0.0986 0.9014 0.1100
0.2038 0.7962 0.5680
0.2275 0.7725 0.1817
0.3763 0.6237 0.0513
0.4505 0.5495 0.3429
0.5495 0.4505 0.8429
0.6237 0.3763 0.5513
0.7725 0.2275 0.6817
0.7962 0.2038 0.0680
0.9014 0.0986 0.6100
```

***

Record 12
CaTe3Pd PBE-GGA optimized geometry; excess energy over the best structure of this formula in the dataset = 860.7 meV per atom
1.0
5.7547 0.0000 0.0000
0.0000 5.7547 0.0000
0.0000 0.0000 5.7547
Ca Te Pd
1 3 1
Direct
0.0000 0.0000 0.0000
0.0000 0.0000 0.5000
0.0000 0.5000 0.0000
0.5000 0.0000 0.0000
0.5000 0.5000 0.5000

***

| no. | volume (Å³/cell) | E_form (uncorrected) (eV per atom) |
| --- | --- | --- |
| 1 | 176.82 | -0.58 |
| 2 | 282.77 | -0.63 |
| 3 | 168.65 | -1.00 |
| 4 | 154.05 | -0.39 |
| 5 | 127.00 | -0.76 |
| 6 | 275.44 | -1.00 |
| 7 | 120.02 | 0.53 |
| 8 | 232.55 | -0.86 |
| 9 | 123.94 | -0.83 |
| 10 | 113.82 | -0.38 |
| 11 | 430.17 | -0.71 |
| 12 | 190.57 | 0.47 |